# BaCo2Br, optimized geometry, DFT PBE
# **Magnetization**: 0.762 μB/atom
# **Energy above the lowest structure with this stoichiometry**: 222 meV per atom
# **ΔE_f (raw)**: 0.19 eV/atom
data_BaCo2Br
_chemical_formula_sum 'Ba1 Co2 Br1'
_symmetry_space_group_name_H-M 'P m m m'
_symmetry_Int_Tables_number 47
_symmetry_space_group_name_Hall '-P 2 2'
_cell_length_a 4.470
_cell_length_b 4.614
_cell_length_c 4.927
_cell_angle_alpha 90.00
_cell_angle_beta 90.00
_cell_angle_gamma 90.00
loop_
_atom_site_label
_atom_site_type_symbol
_atom_site_fract_x
_atom_site_fract_y
_atom_site_fract_z
Ba1 Ba 0.000 0.000 0.000
Co1 Co 0.500 0.500 0.223
Br1 Br 0.000 0.500 0.500